1.
# MnNbAl2 (PBE, relaxed)
# - final energy (eV per atom) = -6.951
# - DFT formation energy (meV/atom) = -270
data_MnNbAl2
_cell_length_a 3.955
_cell_length_b 3.955
_cell_length_c 3.934
_cell_angle_alpha 90.00
_cell_angle_beta 90.00
_cell_angle_gamma 90.00
_symmetry_space_group_name_H-M 'P 4/m m m'
_symmetry_Int_Tables_number 123
_symmetry_space_group_name_Hall '-P 4 2'
loop_
_atom_site_label
_atom_site_type_symbol
_atom_site_fract_x
_atom_site_fract_y
_atom_site_fract_z
Mn1 Mn 0.000 0.000 0.000
Nb1 Nb 0.500 0.500 0.000
Al1 Al 0.000 0.500 0.500

***

2.
# MnNb2Al2 (PBE, relaxed)
# - final energy (eV per atom) = -7.491
# - DFT formation energy (meV/atom) = -132
data_MnNb2Al2
_cell_length_a 6.606
_cell_length_b 6.606
_cell_length_c 3.757
_cell_angle_alpha 90.00
_cell_angle_beta 90.00
_cell_angle_gamma 90.00
_symmetry_space_group_name_H-M 'P 4/m b m'
_symmetry_Int_Tables_number 127
_symmetry_space_group_name_Hall '-P 4 2ab'
loop_
_atom_site_label
_atom_site_type_symbol
_atom_site_fract_x
_atom_site_fract_y
_atom_site_fract_z
Mn1 Mn 0.000 0.000 0.000
Nb1 Nb 0.167 0.333 0.500
Al1 Al 0.136 0.636 0.000

***

3.
# Mn2NbAl2 (PBE, relaxed)
# - final energy (eV per atom) = -7.300
# - energy relative to the lowest polymorph listed for this composition (meV per atom) = 0
# - DFT formation energy (meV/atom) = -121
data_Mn2NbAl2
_cell_length_a 7.212
_cell_length_b 7.212
_cell_length_c 2.784
_cell_angle_alpha 90.00
_cell_angle_beta 90.00
_cell_angle_gamma 90.00
_symmetry_space_group_name_H-M 'P 4/m b m'
_symmetry_Int_Tables_number 127
_symmetry_space_group_name_Hall '-P 4 2ab'
loop_
_atom_site_label
_atom_site_type_symbol
_atom_site_fract_x
_atom_site_fract_y
_atom_site_fract_z
Mn1 Mn 0.169 0.331 0.000
Nb1 Nb 0.000 0.000 0.500
Al1 Al 0.127 0.627 0.500

***

4.
# Mn2NbAl2 (PBE, relaxed)
# - final energy (eV per atom) = -7.261
# - energy relative to the lowest polymorph listed for this composition (meV per atom) = 39
# - DFT formation energy (meV/atom) = -82
data_Mn2NbAl2
_cell_length_a 7.299
_cell_length_b 7.299
_cell_length_c 2.738
_cell_angle_alpha 90.00
_cell_angle_beta 90.00
_cell_angle_gamma 90.00
_symmetry_space_group_name_H-M 'P 4/m b m'
_symmetry_Int_Tables_number 127
_symmetry_space_group_name_Hall '-P 4 2ab'
loop_
_atom_site_label
_atom_site_type_symbol
_atom_site_fract_x
_atom_site_fract_y
_atom_site_fract_z
Mn1 Mn 0.121 0.379 0.000
Nb1 Nb 0.000 0.000 0.000
Al1 Al 0.174 0.674 0.500

***

Going through the records in order, we get calculated density values of 5.44; 5.97; 5.89; 5.85 g/cm³.